(1)
VASP calculation (SCAN) on a PBEsol-optimized structure of LaCr2Re.

Cell lengths 3.063, 5.062, 5.123 Å; angles 119.61, 107.39, 90.00 degrees
Site moments in Bohr magnetons follow the coordinates.
Atoms (fractional coordinates):
1 Cr 0.735 0.735 0.471  1.92
2 Cr 0.265 0.265 0.529  1.92
3 La 0.500 0.000 0.000  -0.09
4 Re 0.000 0.500 0.000  -0.69

Summary:
* space-group type: Immm (71)
* offset from the most stable computed form: 0 meV per atom
* magnetic moment: 3.07 μB/f.u.
* energy of formation from the pure elements: 0.88 eV/atom
* calculated total energy: -36.87 eV per atom

(2)
VASP calculation (SCAN) on a PBEsol-optimized structure of CsNbC3.

Cell lengths 4.230, 4.230, 4.230 Å; angles 90.00, 90.00, 90.00 degrees
Site moments in Bohr magnetons follow the coordinates.
Atoms (fractional coordinates):
1 Cs 0.000 0.000 0.000  -0.01
2 Nb 0.500 0.500 0.500  -1.06
3 C 0.000 0.500 0.000  0.16
4 C 0.000 0.000 0.500  0.16
5 C 0.500 0.000 0.000  0.16

Summary:
* space-group type: Pm-3m (221)
* magnetic moment: 0.47 μB/f.u.
* energy of formation from the pure elements: 4.27 eV/atom
* calculated total energy: -15.98 eV per atom

(3)
VASP calculation (SCAN) on a PBEsol-optimized structure of MgSc3Ta.

Cell lengths 4.949, 4.949, 4.949 Å; angles 90.00, 90.00, 90.00 degrees
Atoms (fractional coordinates):
1 Sc 0.000 0.500 0.000
2 Sc 0.000 0.000 0.500
3 Sc 0.500 0.000 0.000
4 Mg 0.000 0.000 0.000
5 Ta 0.500 0.500 0.500

Summary:
* space-group type: Pm-3m (221)
* magnetic moment: 0.00 μB/f.u.
* energy of formation from the pure elements: 1.33 eV/atom
* calculated total energy: -21.52 eV per atom

(4)
VASP calculation (SCAN) on a PBEsol-optimized structure of Ta2SiTe.

Cell lengths 3.246, 3.246, 6.625 Å; angles 90.00, 90.00, 90.00 degrees
Atoms (fractional coordinates):
1 Si 0.500 0.500 0.500
2 Ta 0.000 0.000 0.720
3 Ta 0.000 0.000 0.280
4 Te 0.500 0.500 0.000

Summary:
* space-group type: P4/mmm (123)
* formation energy without anion corrections: 0.05 eV per atom
* offset from the most stable computed form: 0 meV per atom
* magnetic moment: 0.00 μB/f.u.
* calculated total energy: -45.06 eV per atom

(5)
VASP calculation (SCAN) on a PBEsol-optimized structure of Ti3PdO.

Cell lengths 5.647, 5.782, 5.647 Å; angles 60.77, 90.00, 119.23 degrees
Atoms (fractional coordinates):
1 Ti 0.207 0.000 0.707
2 Ti 0.707 0.000 0.793
3 Ti 0.250 0.500 0.750
4 Ti 0.293 0.000 0.207
5 Ti 0.793 0.000 0.293
6 Ti 0.750 0.500 0.250
7 Pd 0.750 0.500 0.750
8 Pd 0.250 0.500 0.250
9 O 0.500 0.000 0.500
10 O 0.000 0.000 0.000

Summary:
* space-group type: I4/mcm (140)
* formation energy without anion corrections: -1.47 eV per atom
* magnetic moment: 0.00 μB/f.u.
* calculated total energy: -18.89 eV per atom

(6)
VASP calculation (SCAN) on a PBEsol-optimized structure of ZrInSb2.

Cell lengths 4.469, 4.469, 5.639 Å; angles 113.34, 113.34, 90.00 degrees
Atoms (fractional coordinates):
1 In 0.000 0.000 0.000
2 Sb 0.750 0.250 0.500
3 Sb 0.250 0.750 0.500
4 Zr 0.500 0.500 0.000

Summary:
* space-group type: I4/mmm (139)
* formation energy without anion corrections: -0.14 eV per atom
* magnetic moment: 0.00 μB/f.u.
* calculated total energy: -34.80 eV per atom

(7)
VASP calculation (SCAN) on a PBEsol-optimized structure of TaMnAl2.

Cell lengths 3.056, 3.056, 6.120 Å; angles 90.00, 90.00, 90.00 degrees
Site moments in Bohr magnetons follow the coordinates.
Atoms (fractional coordinates):
1 Mn 0.000 0.000 0.493  0.07
2 Al 0.000 0.000 0.008  0.00
3 Al 0.500 0.500 0.276  0.00
4 Ta 0.500 0.500 0.723  -0.04

Summary:
* space-group type: P4mm (99)
* offset from the most stable computed form: 76 meV per atom
* magnetic moment: 0.00 μB/f.u.
* energy of formation from the pure elements: -0.26 eV/atom
* calculated total energy: -25.34 eV per atom

(8)
VASP calculation (SCAN) on a PBEsol-optimized structure of CuSi2.

Cell lengths 3.342, 3.342, 4.492 Å; angles 90.00, 90.00, 90.00 degrees
Atoms (fractional coordinates):
1 Cu 0.000 0.000 0.000
2 Si 0.000 0.000 0.500
3 Si 0.500 0.500 0.000

Summary:
* space-group type: P4/mmm (123)
* formation energy without anion corrections: 0.82 eV per atom
* magnetic moment: 0.00 μB/f.u.
* calculated total energy: -10.92 eV per atom

(9)
VASP calculation (SCAN) on a PBEsol-optimized structure of Lu2Al9Rh3.

Cell lengths 7.439, 7.439, 9.311 Å; angles 90.00, 90.00, 119.38 degrees
Atoms (fractional coordinates):
1 Lu 0.673 0.995 0.750
2 Lu 0.327 0.005 0.250
3 Lu 0.995 0.673 0.750
4 Lu 0.005 0.327 0.250
5 Rh 0.328 0.672 0.000
6 Rh 0.672 0.328 0.000
7 Rh 0.672 0.328 0.500
8 Rh 0.328 0.672 0.500
9 Rh 0.000 0.000 0.000
10 Rh 0.000 0.000 0.500
11 Al 0.127 0.127 0.750
12 Al 0.873 0.873 0.250
13 Al 0.336 0.000 0.924
14 Al 0.664 0.000 0.076
15 Al 0.664 0.000 0.424
16 Al 0.000 0.336 0.576
17 Al 0.336 0.000 0.576
18 Al 0.000 0.664 0.424
19 Al 0.000 0.664 0.076
20 Al 0.000 0.336 0.924
21 Al 0.332 0.332 0.448
22 Al 0.668 0.668 0.552
23 Al 0.668 0.668 0.948
24 Al 0.332 0.332 0.052
25 Al 0.553 0.340 0.750
26 Al 0.447 0.660 0.250
27 Al 0.340 0.553 0.750
28 Al 0.660 0.447 0.250

Summary:
* space-group type: Cmcm (63)
* magnetic moment: 0.06 μB/f.u.
* energy of formation from the pure elements: -0.95 eV/atom
* calculated total energy: -21.07 eV per atom

(10)
VASP calculation (SCAN) on a PBEsol-optimized structure of LaMgIn2.

Cell lengths 4.792, 4.792, 6.090 Å; angles 66.83, 66.83, 60.00 degrees
Atoms (fractional coordinates):
1 Mg 0.500 0.500 0.500
2 La 0.000 0.000 0.000
3 In 0.776 0.776 0.671
4 In 0.224 0.224 0.329

Summary:
* space-group type: R-3m (166)
* magnetic moment: 0.00 μB/f.u.
* energy of formation from the pure elements: -0.53 eV/atom
* calculated total energy: -29.24 eV per atom

(11)
VASP calculation (SCAN) on a PBEsol-optimized structure of ZnGa2NiSn.

Cell lengths 4.692, 5.218, 5.218 Å; angles 90.00, 90.00, 90.00 degrees
Atoms (fractional coordinates):
1 Ni 0.500 0.000 0.000
2 Zn 0.500 0.500 0.500
3 Sn 0.000 0.000 0.000
4 Ga 0.000 0.000 0.500
5 Ga 0.000 0.500 0.000

Summary:
* space-group type: P4/mmm (123)
* magnetic moment: 0.00 μB/f.u.
* energy of formation from the pure elements: 0.88 eV/atom
* calculated total energy: -18.78 eV per atom

(12)
VASP calculation (SCAN) on a PBEsol-optimized structure of KRbGa2N.

Cell lengths 4.865, 5.851, 5.851 Å; angles 90.00, 90.00, 90.00 degrees
Site moments in Bohr magnetons follow the coordinates.
Atoms (fractional coordinates):
1 K 0.000 0.000 0.000  0.01
2 Ga 0.000 0.000 0.500  -0.12
3 Ga 0.000 0.500 0.000  -0.12
4 Rb 0.500 0.500 0.500  -0.02
5 N 0.500 0.000 0.000  1.21

Summary:
* space-group type: P4/mmm (123)
* formation energy without anion corrections: 1.21 eV per atom
* magnetic moment: 0.85 μB/f.u.
* calculated total energy: -13.00 eV per atom

(13)
VASP calculation (SCAN) on a PBEsol-optimized structure of ZnTe2As.

Cell lengths 5.022, 5.022, 5.022 Å; angles 60.00, 60.00, 60.00 degrees
Atoms (fractional coordinates):
1 As 0.500 0.500 0.500
2 Te 0.000 0.000 0.000
3 Te 0.250 0.250 0.250
4 Zn 0.750 0.750 0.750

Summary:
* space-group type: F-43m (216)
* formation energy without anion corrections: 0.47 eV per atom
* offset from the most stable computed form: 431 meV per atom
* magnetic moment: 0.00 μB/f.u.
* calculated total energy: -26.58 eV per atom

(14)
VASP calculation (SCAN) on a PBEsol-optimized structure of LiPr2Ir.

Cell lengths 5.048, 5.048, 5.048 Å; angles 60.00, 60.00, 60.00 degrees
Atoms (fractional coordinates):
1 Pr 0.750 0.750 0.750
2 Pr 0.250 0.250 0.250
3 Ir 0.500 0.500 0.500
4 Li 0.000 0.000 0.000

Summary:
* space-group type: Fm-3m (225)
* magnetic moment: 0.02 μB/f.u.
* energy of formation from the pure elements: -0.48 eV/atom
* calculated total energy: -40.51 eV per atom

(15)
VASP calculation (SCAN) on a PBEsol-optimized structure of KBe2Re.

Cell lengths 4.423, 4.423, 4.423 Å; angles 60.00, 60.00, 60.00 degrees
Site moments in Bohr magnetons follow the coordinates.
Atoms (fractional coordinates):
1 Re 0.000 0.000 0.000  1.48
2 K 0.500 0.500 0.500  0.02
3 Be 0.250 0.250 0.250  -0.04
4 Be 0.750 0.750 0.750  -0.04

Summary:
* space-group type: Fm-3m (225)
* offset from the most stable computed form: 227 meV per atom
* magnetic moment: 1.73 μB/f.u.
* energy of formation from the pure elements: 1.53 eV/atom
* calculated total energy: -20.50 eV per atom

(16)
VASP calculation (SCAN) on a PBEsol-optimized structure of La2Ag.

Cell lengths 4.032, 6.996, 7.446 Å; angles 115.04, 105.71, 90.00 degrees
Atoms (fractional coordinates):
1 Ag 0.618 0.093 0.235
2 Ag 0.382 0.907 0.765
3 La 0.012 0.275 0.023
4 La 0.988 0.725 0.977
5 La 0.705 0.707 0.410
6 La 0.295 0.293 0.590

Summary:
* space-group type: C2/m (12)
* magnetic moment: 0.01 μB/f.u.
* energy of formation from the pure elements: -0.16 eV/atom
* calculated total energy: -39.36 eV per atom

(17)
VASP calculation (SCAN) on a PBEsol-optimized structure of Li2TlRu.

Cell lengths 2.946, 4.700, 5.390 Å; angles 115.01, 104.60, 92.78 degrees
Site moments in Bohr magnetons follow the coordinates.
Atoms (fractional coordinates):
1 Li 0.000 0.000 0.500  -0.01
2 Li 0.500 0.500 0.500  -0.01
3 Ru 0.500 0.000 0.000  0.85
4 Tl 0.000 0.500 0.000  -0.02

Summary:
* space-group type: C2/m (12)
* magnetic moment: 0.76 μB/f.u.
* energy of formation from the pure elements: 0.12 eV/atom
* calculated total energy: -27.87 eV per atom

(18)
VASP calculation (SCAN) on a PBEsol-optimized structure of KFe2Te2.

Cell lengths 3.787, 3.787, 8.554 Å; angles 102.79, 102.79, 90.00 degrees
Site moments in Bohr magnetons follow the coordinates.
Atoms (fractional coordinates):
1 K 0.000 0.000 0.000  0.01
2 Te 0.359 0.359 0.718  -0.02
3 Te 0.641 0.641 0.282  -0.02
4 Fe 0.250 0.750 0.500  2.91
5 Fe 0.750 0.250 0.500  2.91

Summary:
* space-group type: I4/mmm (139)
* formation energy without anion corrections: -0.40 eV per atom
* magnetic moment: 5.83 μB/f.u.
* calculated total energy: -24.22 eV per atom

(19)
VASP calculation (SCAN) on a PBEsol-optimized structure of ScInO2F.

Cell lengths 3.960, 4.112, 4.112 Å; angles 90.00, 90.00, 90.00 degrees
Atoms (fractional coordinates):
1 Sc 0.000 0.000 0.000
2 F 0.500 0.000 0.000
3 O 0.000 0.000 0.500
4 O 0.000 0.500 0.000
5 In 0.500 0.500 0.500

Summary:
* space-group type: P4/mmm (123)
* formation energy without anion corrections: -2.51 eV per atom
* magnetic moment: 0.00 μB/f.u.
* calculated total energy: -15.24 eV per atom

(20)
VASP calculation (SCAN) on a PBEsol-optimized structure of AgSbRh2.

Cell lengths 4.273, 4.555, 4.273 Å; angles 62.03, 90.00, 117.97 degrees
Atoms (fractional coordinates):
1 Sb 0.500 0.000 0.500
2 Rh 0.250 0.500 0.250
3 Rh 0.750 0.500 0.750
4 Ag 0.000 0.000 0.000

Summary:
* space-group type: I4/mmm (139)
* formation energy without anion corrections: -0.20 eV per atom
* offset from the most stable computed form: 0 meV per atom
* magnetic moment: 0.00 μB/f.u.
* calculated total energy: -34.24 eV per atom

(21)
VASP calculation (SCAN) on a PBEsol-optimized structure of Mn3SbW.

Cell lengths 4.548, 4.548, 4.548 Å; angles 90.00, 90.00, 90.00 degrees
Site moments in Bohr magnetons follow the coordinates.
Atoms (fractional coordinates):
1 Sb 0.500 0.500 0.500  -0.03
2 Mn 0.000 0.500 0.000  3.23
3 Mn 0.000 0.000 0.500  3.23
4 Mn 0.500 0.000 0.000  3.23
5 W 0.000 0.000 0.000  -0.97

Summary:
* space-group type: Pm-3m (221)
* formation energy without anion corrections: 1.08 eV per atom
* magnetic moment: 8.91 μB/f.u.
* calculated total energy: -31.26 eV per atom

(22)
VASP calculation (SCAN) on a PBEsol-optimized structure of Zr4Mn.

Cell lengths 3.221, 5.717, 5.717 Å; angles 85.45, 73.64, 73.64 degrees
Atoms (fractional coordinates):
1 Mn 0.000 0.000 0.000
2 Zr 0.417 0.812 0.353
3 Zr 0.583 0.188 0.647
4 Zr 0.770 0.647 0.812
5 Zr 0.230 0.353 0.188

Summary:
* space-group type: I4/m (87)
* magnetic moment: 0.00 μB/f.u.
* energy of formation from the pure elements: -0.02 eV/atom
* calculated total energy: -28.23 eV per atom

(23)
VASP calculation (SCAN) on a PBEsol-optimized structure of TaCr3Sn.

Cell lengths 4.638, 4.638, 4.638 Å; angles 90.00, 90.00, 90.00 degrees
Site moments in Bohr magnetons follow the coordinates.
Atoms (fractional coordinates):
1 Cr 0.000 0.500 0.000  2.99
2 Cr 0.000 0.000 0.500  2.99
3 Cr 0.500 0.000 0.000  2.99
4 Sn 0.500 0.500 0.500  -0.17
5 Ta 0.000 0.000 0.000  -0.75

Summary:
* space-group type: Pm-3m (221)
* magnetic moment: 8.49 μB/f.u.
* energy of formation from the pure elements: 1.32 eV/atom
* calculated total energy: -30.21 eV per atom

(24)
VASP calculation (SCAN) on a PBEsol-optimized structure of CaP2NCl.

Cell lengths 5.238, 5.500, 5.500 Å; angles 90.00, 90.00, 90.00 degrees
Site moments in Bohr magnetons follow the coordinates.
Atoms (fractional coordinates):
1 P 0.000 0.000 0.500  0.57
2 P 0.000 0.500 0.000  0.57
3 Ca 0.000 0.000 0.000  0.05
4 N 0.500 0.500 0.500  1.93
5 Cl 0.500 0.000 0.000  0.12

Summary:
* space-group type: P4/mmm (123)
* formation energy without anion corrections: 1.23 eV per atom
* magnetic moment: 5.71 μB/f.u.
* calculated total energy: -8.32 eV per atom

(25)
VASP calculation (SCAN) on a PBEsol-optimized structure of Nb2TlBF.

Cell lengths 4.149, 4.149, 4.882 Å; angles 90.00, 90.00, 90.00 degrees
Atoms (fractional coordinates):
1 Tl 0.000 0.000 0.500
2 B 0.500 0.500 0.500
3 Nb 0.000 0.500 0.000
4 Nb 0.500 0.000 0.000
5 F 0.000 0.000 0.000

Summary:
* space-group type: P4/mmm (123)
* formation energy without anion corrections: 0.80 eV per atom
* magnetic moment: 0.00 μB/f.u.
* calculated total energy: -29.11 eV per atom

(26)
VASP calculation (SCAN) on a PBEsol-optimized structure of MnPdI3.

Cell lengths 5.376, 5.376, 5.376 Å; angles 90.00, 90.00, 90.00 degrees
Site moments in Bohr magnetons follow the coordinates.
Atoms (fractional coordinates):
1 I 0.000 0.500 0.000  0.04
2 I 0.000 0.000 0.500  0.04
3 I 0.500 0.000 0.000  0.04
4 Mn 0.000 0.000 0.000  4.21
5 Pd 0.500 0.500 0.500  0.51

Summary:
* space-group type: Pm-3m (221)
* formation energy without anion corrections: 0.22 eV per atom
* magnetic moment: 5.18 μB/f.u.
* calculated total energy: -32.03 eV per atom

(27)
VASP calculation (SCAN) on a PBEsol-optimized structure of PrSe2.

Cell lengths 4.149, 8.331, 8.490 Å; angles 90.04, 90.00, 90.00 degrees
Atoms (fractional coordinates):
1 Pr 0.727 0.626 0.274
2 Pr 0.273 0.374 0.726
3 Pr 0.227 0.874 0.726
4 Pr 0.773 0.126 0.274
5 Se 0.691 0.880 0.999
6 Se 0.245 0.875 0.367
7 Se 0.809 0.380 0.999
8 Se 0.191 0.620 0.001
9 Se 0.745 0.625 0.633
10 Se 0.309 0.120 0.001
11 Se 0.255 0.375 0.367
12 Se 0.755 0.125 0.633

Summary:
* space-group type: P2_1/c (14)
* formation energy without anion corrections: -1.87 eV per atom
* magnetic moment: 0.00 μB/f.u.
* calculated total energy: -29.69 eV per atom

(28)
VASP calculation (SCAN) on a PBEsol-optimized structure of KAlTl2.

Cell lengths 3.173, 6.424, 6.424 Å; angles 115.42, 101.21, 101.21 degrees
Atoms (fractional coordinates):
1 Tl 0.000 0.500 0.000
2 Tl 0.000 0.000 0.500
3 K 0.500 0.500 0.500
4 Al 0.500 0.000 0.000

Summary:
* space-group type: C2/m (12)
* offset from the most stable computed form: 124 meV per atom
* magnetic moment: 0.00 μB/f.u.
* energy of formation from the pure elements: 0.18 eV/atom
* calculated total energy: -40.02 eV per atom